(1)
DFT (GGA-PBE) results for a relaxed structure of TcRuAu2.

The electronic total energy is -25.241 eV per cell. The calculation puts the excess energy over the best structure of this formula in the dataset at 0.118 eV per atom. The formation energy is 23.1 kJ/mol of atoms.

Unit cell a=2.8517 b=3.8514 c=5.8614 alpha=90.00 beta=90.00 gamma=90.00
With the nearest neighbours (Å) after each atom.
Element x y z (fractional)
Tc 0.0000 0.0000 0.0000  4 Ru 2.65, 5 Au 2.73-2.87, 2 Tc 2.85
Ru 0.5000 0.5000 0.8062  4 Tc 2.65, 5 Au 2.72-2.88, 2 Ru 2.85
Au 0.0000 0.0000 0.5334  1 Tc 2.73, 6 Au 2.85, 4 Ru 2.88
Au 0.5000 0.5000 0.2702  1 Ru 2.72, 6 Au 2.85, 4 Tc 2.87

=====

(2)
DFT (GGA-PBE) results for a relaxed structure of TcRuAu2.

The electronic total energy is -24.299 eV per cell. The calculation puts the excess energy over the best structure of this formula in the dataset at 0.353 eV per atom. The formation energy is 45.8 kJ/mol of atoms.

Unit cell a=2.8491 b=4.1616 c=5.3892 alpha=90.00 beta=90.10 gamma=90.00
With the nearest neighbours (Å) after each atom.
Element x y z (fractional)
Tc 0.0000 0.0000 0.0000  2 Ru 2.69, 2 Tc 2.85, 8 Au 2.86
Ru 0.0000 0.0000 0.5000  2 Tc 2.69, 2 Ru 2.85, 8 Au 2.86
Au 0.4995 0.5000 0.7508  4 Au 2.69-2.85, 4 Tc 2.86, 4 Ru 2.86
Au 0.5005 0.5000 0.2492  4 Au 2.69-2.85, 4 Tc 2.86, 4 Ru 2.86

=====

(3)
DFT (GGA-PBE) results for a relaxed structure of Tc2RuAu.

The electronic total energy is -32.463 eV per cell. The calculation puts the excess energy over the best structure of this formula in the dataset at 0.019 eV per atom. The formation energy is 19.8 kJ/mol of atoms.

Unit cell a=2.7528 b=2.7528 c=8.0429 alpha=90.00 beta=90.00 gamma=90.00
With the nearest neighbours (Å) after each atom.
Element x y z (fractional)
Tc 0.0000 0.0000 0.0000  4 Ru 2.64, 8 Tc 2.75
Tc 0.5000 0.5000 0.2412  8 Tc 2.75, 4 Au 2.90
Ru 0.5000 0.5000 0.7781  4 Tc 2.64, 4 Ru 2.75, 4 Au 2.92
Au 0.0000 0.0000 0.5078  4 Au 2.75, 4 Tc 2.90, 4 Ru 2.92

=====

(4)
DFT (GGA-PBE) results for a relaxed structure of Tc2RuAu.

The electronic total energy is -32.535 eV per cell. The calculation puts the excess energy over the best structure of this formula in the dataset at 0.000 eV per atom. The formation energy is 18.1 kJ/mol of atoms.

Unit cell a=9.3415 b=9.3415 c=9.3415 alpha=17.06 beta=17.06 gamma=17.06
With the nearest neighbours (Å) after each atom.
Element x y z (fractional)
Tc 0.0000 0.0000 0.0000  9 Tc 2.68-2.77, 3 Au 2.94
Tc 0.2556 0.2556 0.2556  3 Ru 2.67, 9 Tc 2.68-2.77
Ru 0.5113 0.5113 0.5113  3 Tc 2.67, 6 Ru 2.77, 3 Au 2.93
Au 0.7558 0.7558 0.7558  6 Au 2.77, 3 Ru 2.93, 3 Tc 2.94